An optimized crystal structure of Pm5Ho6In, computed with PBE.

Calculated values
Electronic total energy ... -54.570 eV/f.u.
ΔE_f ... -51 meV per atom

abc: 4.9891 9.3858 9.3858
angles: 106.63 105.40 105.40
Last column: nearest neighbours and their distance in Å.
Positions (direct):
Pm  0.0000  0.6629  0.3371  4 Pm 3.50-3.57, 8 Ho 3.56-3.58
Ho  0.7432  0.2431  0.2431  2 In 3.49, 6 Pm 3.51-3.59, 4 Ho 3.52
Ho  0.2454  0.0806  0.4102  1 In 3.50, 7 Pm 3.51-3.59, 4 Ho 3.52-3.58
Ho  0.2568  0.7569  0.7569  2 In 3.49, 6 Pm 3.51-3.59, 4 Ho 3.52
In  0.0000  0.0000  0.0000  8 Ho 3.49-3.50, 4 Pm 3.55
Pm  0.5000  0.1674  0.8326  8 Ho 3.51-3.59, 2 In 3.55, 2 Pm 3.57
Ho  0.7546  0.5898  0.9194  1 In 3.50, 7 Pm 3.51-3.59, 4 Ho 3.52-3.58
Pm  0.5000  0.8326  0.1674  8 Ho 3.51-3.59, 2 In 3.55, 2 Pm 3.57
Pm  0.0000  0.3371  0.6629  4 Pm 3.50-3.57, 8 Ho 3.56-3.58
Ho  0.2454  0.4102  0.0806  1 In 3.50, 7 Pm 3.51-3.59, 4 Ho 3.52-3.58
Ho  0.7546  0.9194  0.5898  1 In 3.50, 7 Pm 3.51-3.59, 4 Ho 3.52-3.58
Pm  0.5000  0.5000  0.5000  4 Pm 3.50, 8 Ho 3.56-3.59